Record 1
Density functional theory data (PBE) for a geometry-optimized CoSiNi2 structure.

```
data_CoSiNi2
_chemical_formula_sum 'Co4 Si4 Ni8'
_space_group_name_H-M_alt 'I -4 2 d'
_space_group_IT_number 122
_space_group_name_Hall 'I -4 2bw'
_cell_length_a 3.378
_cell_length_b 3.378
_cell_length_c 16.582
_cell_angle_alpha 90.00
_cell_angle_beta 90.00
_cell_angle_gamma 90.00
loop_
_atom_site_label
_atom_site_type_symbol
_atom_site_fract_x
_atom_site_fract_y
_atom_site_fract_z
Co1 Co 0.000 0.000 0.000
Si1 Si 0.000 0.000 0.500
Ni1 Ni 0.247 0.250 0.625
```

Formation energy (no corrections), eV per atom: 0.07
Density of states at the Fermi level, states/eV/cell: 21.01

---

Record 2
Density functional theory data (PBE) for a geometry-optimized LiTaP2 structure.

```
data_LiTaP2
_chemical_formula_sum 'Li4 Ta4 P8'
_space_group_name_H-M_alt 'F -4 3 m'
_space_group_IT_number 216
_space_group_name_Hall 'F -4 2 3'
_cell_length_a 6.104
_cell_length_b 6.104
_cell_length_c 6.104
_cell_angle_alpha 90.00
_cell_angle_beta 90.00
_cell_angle_gamma 90.00
loop_
_atom_site_label
_atom_site_type_symbol
_atom_site_fract_x
_atom_site_fract_y
_atom_site_fract_z
Li1 Li 0.000 0.000 0.000
Ta1 Ta 0.250 0.250 0.250
P1 P 0.000 0.000 0.500
P2 P 0.250 0.250 0.750
```

Energy above the most stable polymorph in this dataset, meV per atom: 802
Formation energy from the elements, eV per atom: 0.23
Density of states at the Fermi level, states/eV/cell: 7.26

---

Record 3
Density functional theory data (PBE) for a geometry-optimized CeDy3Ho4 structure.

```
data_CeDy3Ho4
_chemical_formula_sum 'Ce2 Dy6 Ho8'
_space_group_name_H-M_alt 'C 1 2/m 1'
_space_group_IT_number 12
_space_group_name_Hall '-C 2y'
_cell_length_a 23.238
_cell_length_b 3.413
_cell_length_c 6.688
_cell_angle_alpha 90.00
_cell_angle_beta 106.71
_cell_angle_gamma 90.00
loop_
_atom_site_label
_atom_site_type_symbol
_atom_site_fract_x
_atom_site_fract_y
_atom_site_fract_z
Ce1 Ce 0.000 0.000 0.000
Dy1 Dy 0.000 0.500 0.500
Dy2 Dy 0.125 0.500 0.882
Ho1 Ho 0.125 0.500 0.367
Ho2 Ho 0.241 0.000 0.241
```

Energy above the most stable polymorph in this dataset, meV per atom: 155
Formation energy from the elements, eV per atom: 0.19
Density of states at the Fermi level, states/eV/cell: 31.58

---

Record 4
Density functional theory data (PBE) for a geometry-optimized NiSe2Br structure.

```
data_NiSe2Br
_chemical_formula_sum 'Ni2 Se4 Br2'
_space_group_name_H-M_alt 'I m m 2'
_space_group_IT_number 44
_space_group_name_Hall 'I 2 -2'
_cell_length_a 3.295
_cell_length_b 4.956
_cell_length_c 12.835
_cell_angle_alpha 90.00
_cell_angle_beta 90.00
_cell_angle_gamma 90.00
loop_
_atom_site_label
_atom_site_type_symbol
_atom_site_fract_x
_atom_site_fract_y
_atom_site_fract_z
Ni1 Ni 0.000 0.000 0.000
Se1 Se 0.000 0.000 0.558
Se2 Se 0.000 0.500 0.627
Br1 Br 0.000 0.500 0.365
```

Energy above the most stable polymorph in this dataset, meV per atom: 201
Formation energy (no corrections), eV per atom: -0.04
Density of states at the Fermi level, states/eV/cell: 5.26

---

Question: Which of these has the lowest density of states at the Fermi level?
Answer: NiSe2Br